TbTmPI2 | PBE | optimized geometry

Output
Space-group type ... No. 156
VASP energy ... -25.15 eV per formula unit
Volume ... 157.9 Å³/cell

a = 4.0885 Å, b = 4.0885 Å, c = 10.9050 Å
α = 90.00°, β = 90.00°, γ = 120.00°
With the nearest neighbours (Å) after each atom.
Fractional coordinates of all 5 atoms:
1 Tb 0.0000 0.0000 0.0000  3 P 2.81, 3 I 3.14
2 Tm 0.3333 0.6667 0.7299  3 P 2.76
3 P 0.6667 0.3333 0.8606  3 Tm 2.76, 3 Tb 2.81
4 I 0.0000 0.0000 0.5448  3 Tm 3.11
5 I 0.3333 0.6667 0.1900  3 Tb 3.14

---

Zn2PI | PBE | optimized geometry

Output
Space-group type ... No. 122
VASP energy ... -10.92 eV per formula unit
Volume ... 421.6 Å³/cell

a = 5.9993 Å, b = 5.9993 Å, c = 11.7125 Å
α = 90.00°, β = 90.00°, γ = 90.00°
With the nearest neighbours (Å) after each atom.
Fractional coordinates of all 16 atoms:
1 Zn 0.1604 0.7500 0.1250  2 P 2.31
2 Zn 0.2500 0.1604 0.8750  2 P 2.31
3 Zn 0.2500 0.3396 0.3750  2 P 2.31
4 Zn 0.3396 0.7500 0.6250  2 P 2.31
5 Zn 0.6604 0.2500 0.6250  2 P 2.31
6 Zn 0.7500 0.6604 0.3750  2 P 2.31
7 Zn 0.7500 0.8396 0.8750  2 P 2.31
8 Zn 0.8396 0.2500 0.1250  2 P 2.31
9 P 0.0000 0.0000 0.0000  4 Zn 2.31
10 P 0.0000 0.5000 0.2500  4 Zn 2.31
11 P 0.5000 0.0000 0.7500  4 Zn 2.31
12 P 0.5000 0.5000 0.5000  4 Zn 2.31
13 I 0.0000 0.0000 0.5000  4 Zn 2.92
14 I 0.0000 0.5000 0.7500  4 Zn 2.92
15 I 0.5000 0.0000 0.2500  4 Zn 2.92
16 I 0.5000 0.5000 0.0000  4 Zn 2.92